Entry 1:
# Li3TiMn3O8

Li3TiMn3O8 after structural relaxation (PBE with a Hubbard U, Alexandria).

## Properties
As for the volume: 295.3 Å³/cell. The space-group type is Cc (9).

a b c (Å): 5.878 5.878 9.712
angles (deg): 87.40 87.40 117.94
Site moments in Bohr magnetons follow the coordinates.
Sites, in units of the cell vectors:
Li 0.171 0.363 0.050  0.00
Li 0.173 0.829 0.058  0.00
Li 0.663 0.836 0.062  0.00
Li 0.836 0.663 0.562  0.00
Li 0.363 0.171 0.550  0.00
Li 0.829 0.173 0.558  0.00
Mn 0.339 0.167 0.281  3.86
Mn 0.655 0.832 0.788  3.89
Mn 0.830 0.160 0.287  3.88
Mn 0.167 0.339 0.781  3.86
Mn 0.832 0.655 0.288  3.89
Mn 0.160 0.830 0.787  3.88
O 0.978 0.985 0.177  0.01
O 0.035 0.501 0.647  0.01
O 0.690 0.331 0.403  -0.01
O 0.501 0.035 0.147  0.01
O 0.495 0.469 0.150  0.00
O 0.955 0.477 0.160  -0.05
O 0.985 0.978 0.677  0.01
O 0.477 0.955 0.660  -0.05
O 0.469 0.495 0.650  0.00
O 0.336 0.195 0.909  0.02
O 0.830 0.685 0.911  -0.04
O 0.199 0.849 0.411  0.01
O 0.849 0.199 0.911  0.01
O 0.331 0.690 0.903  -0.01
O 0.195 0.336 0.409  0.02
O 0.685 0.830 0.411  -0.04
Ti 0.324 0.640 0.502  0.10
Ti 0.640 0.324 0.002  0.10

***

Entry 2:
# LiTiMn3O8

LiTiMn3O8 after structural relaxation (PBE with a Hubbard U, Alexandria).

## Properties
As for the volume: 465.7 Å³/cell. The space-group type is P-1 (2).

a b c (Å): 5.948 6.367 14.267
angles (deg): 89.47 90.21 120.45
Site moments in Bohr magnetons follow the coordinates.
Sites, in units of the cell vectors:
Ti 0.795 0.590 0.678  0.08
Ti 0.205 0.410 0.322  0.08
Ti 0.500 0.000 0.000  0.09
Mn 0.665 0.344 0.333  3.24
Mn 0.000 0.000 0.000  3.22
Mn 0.000 0.500 0.500  3.89
Mn 0.158 0.811 0.836  3.90
Mn 0.842 0.189 0.164  3.90
Mn 0.331 0.168 0.167  3.25
Mn 0.335 0.656 0.667  3.24
Mn 0.500 0.500 0.500  3.20
Mn 0.669 0.832 0.833  3.25
O 0.303 0.104 0.921  -0.06
O 0.503 0.536 0.753  -0.08
O 0.497 0.464 0.247  -0.08
O 0.811 0.620 0.423  -0.10
O 0.636 0.283 0.085  -0.08
O 0.642 0.759 0.591  -0.09
O 0.023 0.526 0.748  -0.07
O 0.493 0.932 0.745  -0.05
O 0.821 0.713 0.924  -0.05
O 0.373 0.652 0.414  0.00
O 0.029 0.087 0.247  -0.09
O 0.185 0.891 0.083  -0.10
O 0.815 0.109 0.917  -0.10
O 0.179 0.287 0.076  -0.05
O 0.364 0.717 0.915  -0.08
O 0.971 0.913 0.753  -0.09
O 0.358 0.241 0.409  -0.09
O 0.189 0.380 0.577  -0.10
O 0.697 0.896 0.079  -0.06
O 0.871 0.242 0.407  -0.07
O 0.627 0.348 0.586  0.00
O 0.507 0.068 0.255  -0.05
O 0.977 0.474 0.252  -0.07
O 0.129 0.758 0.593  -0.07
Li 0.223 0.098 0.633  0.00
Li 0.777 0.902 0.367  0.00
Li 0.500 0.500 0.000  0.01

***

| no. | energy (eV per atom) |
| --- | --- |
| 1 | -7.050 |
| 2 | -7.353 |